# 1
Compound: PrHf2Co9
Source: Alexandria via LeMat-Bulk
Functional: PBE
Structure: optimized geometry

**DFT formation energy**: -0.214 eV/atom
**Size of the total moment**: 9.6 μB per formula unit
**DOS at the Fermi energy**: 1.3117 states/eV per atom

a b c (Å): 4.9251 4.9251 8.4134
angles (deg): 72.98 72.98 60.00
Positions (direct):
Co  0.4102  0.9218  0.2577
Co  0.5000  0.5000  0.5000
Co  0.5898  0.5898  0.7423
Co  0.0782  0.5898  0.7423
Co  0.3360  0.3360  0.9919
Co  0.9218  0.4102  0.2577
Co  0.4102  0.4102  0.2577
Co  0.5898  0.0782  0.7423
Co  0.6640  0.6640  0.0081
Pr  0.0000  0.0000  0.0000
Hf  0.8591  0.8591  0.4228
Hf  0.1409  0.1409  0.5772

# 2
Compound: ZnInSn2
Source: Alexandria via LeMat-Bulk
Functional: PBE
Structure: optimized geometry

**DFT formation energy**: 0.085 eV/atom
**Size of the total moment**: 0.0 μB per formula unit
**DOS at the Fermi energy**: 0.3501 states/eV per atom

a b c (Å): 3.6215 3.6215 7.6219
angles (deg): 90.00 90.00 90.00
Positions (direct):
Zn  0.5000  0.5000  0.0000
Sn  0.0000  0.0000  0.7895
Sn  0.0000  0.0000  0.2105
In  0.5000  0.5000  0.5000

Repeat the second record exactly.
Compound: ZnInSn2
Source: Alexandria via LeMat-Bulk
Functional: PBE
Structure: optimized geometry

**DFT formation energy**: 0.085 eV/atom
**Size of the total moment**: 0.0 μB per formula unit
**DOS at the Fermi energy**: 0.3501 states/eV per atom

a b c (Å): 3.6215 3.6215 7.6219
angles (deg): 90.00 90.00 90.00
Positions (direct):
Zn  0.5000  0.5000  0.0000
Sn  0.0000  0.0000  0.7895
Sn  0.0000  0.0000  0.2105
In  0.5000  0.5000  0.5000